UInAu GGA-PBE relaxed; calculated volume = 23.3 Å³/atom; N(E_F) = 7.90 states/eV per cell; energy of formation from the pure elements = -35.2 meV/atom
1.0
-2.089 3.609 -4.151
-6.050 0.447 -0.736
-1.157 5.122 0.866
Au U In
2 2 2
direct
0.250 0.500 0.500 Au
0.750 0.500 0.500 Au
0.887 0.226 0.000 U
0.113 0.774 0.000 U
0.338 0.000 0.324 In
0.662 0.000 0.676 In